Entry 1:
Compound: Mg2PtSe
Source: the Alexandria database
Functional: PBE
Structure: relaxed

Lattice parameters (Å, degrees): 8.8949 8.8949 8.8949 20.87 20.87 20.87
Element x y z (fractional)
Mg (0.0000, 0.0000, 0.0000)
Mg (0.2323, 0.2323, 0.2323)
Pt (0.4907, 0.4907, 0.4907)
Se (0.7450, 0.7450, 0.7450)

Calculated values
Space-group type: R3m, No. 160

Entry 2:
Compound: MgPtSe2
Source: the Alexandria database
Functional: PBE
Structure: relaxed

Lattice parameters (Å, degrees): 7.4187 7.4187 7.4187 134.79 134.79 65.85
Element x y z (fractional)
Mg (0.0000, 0.0000, 0.0000)
Mg (0.7500, 0.2500, 0.5000)
Pt (0.2500, 0.7500, 0.5000)
Pt (0.5000, 0.5000, 0.0000)
Se (0.1482, 0.6250, 0.0232)
Se (0.3750, 0.3982, 0.5232)
Se (0.6018, 0.1250, 0.9768)
Se (0.8750, 0.8518, 0.4768)

Calculated values
Space-group type: I-42d, No. 122

Entry 3:
Compound: MgPtSe2
Source: the Alexandria database
Functional: PBE
Structure: relaxed

Lattice parameters (Å, degrees): 3.8175 3.8175 5.3335 90.00 90.00 90.00
Element x y z (fractional)
Mg (0.0000, 0.0000, 0.0000)
Pt (0.5000, 0.5000, 0.5000)
Se (0.0000, 0.0000, 0.5000)
Se (0.5000, 0.5000, 0.0000)

Calculated values
Space-group type: P4/mmm, No. 123

| no. | formation energy from raw total energies (eV per atom) | Fermi-level density of states (states/eV per cell) |
| --- | --- | --- |
| 1 | -0.163 | 1.930 |
| 2 | -0.447 | 4.291 |
| 3 | -0.615 | 1.230 |